Density functional theory data (GGA+U) for an optimized crystal structure of TbCoPO.

Calculated values
SG	P4/nmm (129)
size of the total moment	5.93	μB/cell
E_tot	-0.386	Ry/atom
ρ	5.30	Mg/m³

a = 4.3393 Å, b = 4.3393 Å, c = 8.8128 Å
α = 90.00°, β = 90.00°, γ = 90.00°
Fractional coordinates of all 8 atoms:
Tb  0.2500  0.7500  0.0000
Tb  0.7500  0.2500  0.0000
Co  0.2500  0.2500  0.4831
Co  0.7500  0.7500  0.5169
P  0.2500  0.2500  0.1813
P  0.7500  0.7500  0.8187
O  0.2500  0.7500  0.5000
O  0.7500  0.2500  0.5000